VASP calculation (SCAN) on a PBEsol-optimized structure of ScCdHg2B.

```
data_ScCdHg2B
_chemical_formula_sum 'Sc1 Cd1 Hg2 B1'
_space_group_name_H-M_alt 'P 4/m m m'
_space_group_IT_number 123
_space_group_name_Hall '-P 4 2'
_cell_length_a 5.108
_cell_length_b 5.108
_cell_length_c 5.376
_cell_angle_alpha 90.00
_cell_angle_beta 90.00
_cell_angle_gamma 90.00
loop_
_atom_site_label
_atom_site_type_symbol
_atom_site_fract_x
_atom_site_fract_y
_atom_site_fract_z
_atom_site_occupancy
Sc1 Sc 0.000 0.000 0.000 1
Cd1 Cd 0.000 0.000 0.500 1
Hg1 Hg 0.000 0.500 0.500 1
B1 B 0.500 0.500 0.000 1
```

Computed properties:
The value obtained for the distance to the lowest polymorph of the same formula is 914 meV/atom. Its formation energy is 6.6 eV/f.u.